No. 1
PBE-GGA SrPu3Se4, optimized geometry; spin magnetization = 5.77 μB per cell; theoretical density = 8.86 g cm⁻³; electronic total energy = -8.91 eV per atom
1.0
4.198 0.000 0.000
0.000 5.986 0.000
0.000 0.000 8.470
Sr Pu Se
1 3 4
Direct
0.000 0.000 0.000 Sr
0.000 0.000 0.500 Pu
0.500 0.500 0.253 Pu
0.500 0.500 0.747 Pu
0.000 0.500 0.000 Se
0.000 0.500 0.500 Se
0.500 0.000 0.260 Se
0.500 0.000 0.740 Se

=====

No. 2
PBE-GGA SrPu2Se4, optimized geometry; spin magnetization = 20.00 μB per cell; theoretical density = 7.36 g cm⁻³; electronic total energy = -7.95 eV per atom
1.0
2.095 -6.827 0.000
2.095 6.827 0.000
0.000 0.000 14.068
Sr Pu Se
2 4 8
Direct
0.111 0.889 0.750 Sr
0.889 0.111 0.250 Sr
0.367 0.633 0.566 Pu
0.367 0.633 0.934 Pu
0.633 0.367 0.066 Pu
0.633 0.367 0.434 Pu
0.000 0.000 0.000 Se
0.000 0.000 0.500 Se
0.269 0.731 0.117 Se
0.269 0.731 0.383 Se
0.448 0.552 0.750 Se
0.552 0.448 0.250 Se
0.731 0.269 0.617 Se
0.731 0.269 0.883 Se

=====

No. 3
PBE-GGA SrPuSe2, optimized geometry; spin magnetization = 5.93 μB per cell; theoretical density = 7.21 g cm⁻³; electronic total energy = -7.48 eV per atom
1.0
2.143 1.237 7.087
-2.143 1.237 7.087
0.000 -2.475 7.087
Sr Pu Se
1 1 2
Direct
0.000 0.000 0.000 Sr
0.500 0.500 0.500 Pu
0.245 0.245 0.245 Se
0.755 0.755 0.755 Se

=====

No. 4
PBE-GGA SrPuSe2, optimized geometry; spin magnetization = 6.00 μB per cell; theoretical density = 7.12 g cm⁻³; electronic total energy = -7.40 eV per atom
1.0
2.106 1.216 7.426
-2.106 1.216 7.426
0.000 -2.432 7.426
Sr Pu Se
1 1 2
Direct
0.000 0.000 0.000 Sr
0.828 0.828 0.828 Pu
0.241 0.241 0.241 Se
0.420 0.420 0.420 Se

=====

No. 5
PBE-GGA SrPuSe2, optimized geometry; spin magnetization = 5.71 μB per cell; theoretical density = 7.28 g cm⁻³; electronic total energy = -7.50 eV per atom
1.0
4.274 0.000 0.000
-2.137 3.701 0.000
0.000 0.000 21.184
Sr Pu Se
3 3 6
Direct
0.000 0.000 0.000 Sr
0.333 0.667 0.176 Sr
0.667 0.333 0.824 Sr
0.000 0.000 0.500 Pu
0.333 0.667 0.655 Pu
0.667 0.333 0.345 Pu
0.000 0.000 0.266 Se
0.000 0.000 0.734 Se
0.333 0.667 0.422 Se
0.333 0.667 0.912 Se
0.667 0.333 0.088 Se
0.667 0.333 0.578 Se

=====

No. 6
PBE-GGA Sr4PuSe5, optimized geometry; spin magnetization = 5.98 μB per cell; theoretical density = 5.46 g cm⁻³; electronic total energy = -5.77 eV per atom
1.0
-2.195 2.195 15.612
2.195 -2.195 15.612
2.195 2.195 -15.612
Sr Pu Se
4 1 5
Direct
0.099 0.099 0.000 Sr
0.301 0.301 0.000 Sr
0.699 0.699 0.000 Sr
0.901 0.901 0.000 Sr
0.500 0.500 0.000 Pu
0.000 0.000 0.000 Se
0.200 0.200 0.000 Se
0.403 0.403 0.000 Se
0.597 0.597 0.000 Se
0.800 0.800 0.000 Se

=====

No. 7
PBE-GGA SrTbPu2Se4, optimized geometry; spin magnetization = 0.05 μB per cell; theoretical density = 8.29 g cm⁻³; electronic total energy = -7.78 eV per atom
1.0
7.261 0.000 0.000
0.000 4.188 0.000
-2.450 0.000 6.919
Sr Tb Pu Se
1 1 2 4
Direct
0.000 0.000 0.000 Sr
0.000 0.500 0.500 Tb
0.500 0.000 0.500 Pu
0.500 0.500 0.000 Pu
0.251 0.000 0.744 Se
0.256 0.500 0.262 Se
0.744 0.500 0.738 Se
0.749 0.000 0.256 Se

=====

No. 8
PBE-GGA SrTb4PuSe8, optimized geometry; spin magnetization = 5.95 μB per cell; theoretical density = 5.90 g cm⁻³; electronic total energy = -6.20 eV per atom
1.0
4.288 2.476 7.064
-4.288 2.476 7.064
0.000 -4.952 7.064
Sr Tb Pu Se
1 4 1 8
Direct
0.000 0.000 0.000 Sr
0.118 0.626 0.626 Tb
0.249 0.249 0.249 Tb
0.626 0.118 0.626 Tb
0.626 0.626 0.118 Tb
0.625 0.625 0.625 Pu
0.377 0.377 0.854 Se
0.377 0.854 0.377 Se
0.382 0.382 0.382 Se
0.415 0.865 0.865 Se
0.854 0.377 0.377 Se
0.862 0.862 0.862 Se
0.865 0.415 0.865 Se
0.865 0.865 0.415 Se

=====

No. 9
PBE-GGA SrTb2PuSe4, optimized geometry; spin magnetization = 6.04 μB per cell; theoretical density = 7.72 g cm⁻³; electronic total energy = -6.67 eV per atom
1.0
7.252 0.000 0.000
0.000 4.165 0.000
-2.402 0.000 6.876
Sr Tb Pu Se
1 2 1 4
Direct
0.000 0.000 0.000 Sr
0.000 0.500 0.500 Tb
0.500 0.000 0.500 Tb
0.500 0.500 0.000 Pu
0.252 0.000 0.741 Se
0.259 0.500 0.264 Se
0.741 0.500 0.736 Se
0.748 0.000 0.259 Se

=====

No. 10
PBE-GGA Sr2TmPuSe4, optimized geometry; spin magnetization = 6.02 μB per cell; theoretical density = 6.88 g cm⁻³; electronic total energy = -6.30 eV per atom
1.0
7.331 0.000 0.000
0.000 4.223 0.000
-2.439 0.000 7.047
Sr Tm Pu Se
2 1 1 4
Direct
0.000 0.000 0.000 Sr
0.500 0.500 0.000 Sr
0.000 0.500 0.500 Tm
0.500 0.000 0.500 Pu
0.235 0.000 0.728 Se
0.249 0.500 0.268 Se
0.751 0.500 0.732 Se
0.765 0.000 0.272 Se

=====

No. 11
PBE-GGA SrTmPu2Se4, optimized geometry; spin magnetization = 0.10 μB per cell; theoretical density = 8.48 g cm⁻³; electronic total energy = -7.73 eV per atom
1.0
7.228 0.000 0.000
0.000 4.165 0.000
-2.432 0.000 6.894
Sr Tm Pu Se
1 1 2 4
Direct
0.000 0.000 0.000 Sr
0.000 0.500 0.500 Tm
0.500 0.000 0.500 Pu
0.500 0.500 0.000 Pu
0.246 0.000 0.739 Se
0.254 0.500 0.264 Se
0.746 0.500 0.736 Se
0.754 0.000 0.261 Se

=====

No. 12
PBE-GGA Sr2YPuSe4, optimized geometry; spin magnetization = 6.02 μB per cell; theoretical density = 6.19 g cm⁻³; electronic total energy = -6.58 eV per atom
1.0
7.356 0.000 0.000
0.000 4.246 0.000
-2.456 0.000 7.073
Sr Y Pu Se
2 1 1 4
Direct
0.000 0.000 0.000 Sr
0.500 0.500 0.000 Sr
0.000 0.500 0.500 Y
0.500 0.000 0.500 Pu
0.240 0.000 0.732 Se
0.252 0.500 0.266 Se
0.748 0.500 0.734 Se
0.760 0.000 0.268 Se

=====

No. 13
PBE-GGA SrYPu2Se4, optimized geometry; spin magnetization = 0.05 μB per cell; theoretical density = 7.75 g cm⁻³; electronic total energy = -8.01 eV per atom
1.0
7.257 0.000 0.000
0.000 4.186 0.000
-2.448 0.000 6.916
Sr Y Pu Se
1 1 2 4
Direct
0.000 0.000 0.000 Sr
0.000 0.500 0.500 Y
0.500 0.000 0.500 Pu
0.500 0.500 0.000 Pu
0.251 0.000 0.743 Se
0.256 0.500 0.262 Se
0.744 0.500 0.738 Se
0.749 0.000 0.257 Se

=====

No. 14
PBE-GGA Sr4Y3PuSe8, optimized geometry; spin magnetization = 6.04 μB per cell; theoretical density = 5.66 g cm⁻³; electronic total energy = -6.13 eV per atom
1.0
7.323 -4.228 0.000
7.323 4.228 0.000
-4.882 0.000 7.069
Sr Y Pu Se
4 3 1 8
Direct
0.000 0.000 0.000 Sr
0.000 0.500 0.000 Sr
0.500 0.000 0.000 Sr
0.500 0.500 0.000 Sr
0.000 0.000 0.500 Y
0.000 0.500 0.500 Y
0.500 0.000 0.500 Y
0.500 0.500 0.500 Pu
0.241 0.746 0.732 Se
0.243 0.243 0.730 Se
0.253 0.253 0.267 Se
0.254 0.759 0.268 Se
0.746 0.241 0.732 Se
0.747 0.747 0.733 Se
0.757 0.757 0.270 Se
0.759 0.254 0.268 Se

=====

No. 15
PBE-GGA Sr2PuZnSe5, optimized geometry; spin magnetization = 8.00 μB per cell; theoretical density = 5.92 g cm⁻³; electronic total energy = -5.50 eV per atom
1.0
2.099 -9.150 0.000
2.099 9.150 0.000
0.000 0.000 12.841
Sr Pu Zn Se
4 2 2 10
Direct
0.111 0.889 0.500 Sr
0.120 0.880 0.136 Sr
0.880 0.120 0.636 Sr
0.889 0.111 0.000 Sr
0.206 0.794 0.834 Pu
0.794 0.206 0.334 Pu
0.441 0.559 0.254 Zn
0.559 0.441 0.754 Zn
0.052 0.948 0.860 Se
0.291 0.709 0.482 Se
0.307 0.693 0.184 Se
0.358 0.642 0.821 Se
0.500 0.500 0.087 Se
0.500 0.500 0.587 Se
0.642 0.358 0.321 Se
0.693 0.307 0.684 Se
0.709 0.291 0.982 Se
0.948 0.052 0.360 Se

=====

No. 16
PBE-GGA PuTa2Se6, optimized geometry; spin magnetization = 6.05 μB per cell; theoretical density = 7.51 g cm⁻³; electronic total energy = -7.30 eV per atom
1.0
6.547 -2.498 0.000
6.547 2.498 0.000
-5.350 0.000 7.301
Pu Ta Se
1 2 6
Direct
0.000 0.000 0.000 Pu
0.193 0.193 0.631 Ta
0.807 0.807 0.369 Ta
0.031 0.031 0.697 Se
0.266 0.266 0.402 Se
0.359 0.359 0.963 Se
0.641 0.641 0.037 Se
0.734 0.734 0.598 Se
0.969 0.969 0.303 Se

=====

No. 17
PBE-GGA Pu2TaSe6, optimized geometry; spin magnetization = 18.00 μB per cell; theoretical density = 7.32 g cm⁻³; electronic total energy = -7.77 eV per atom
1.0
6.539 0.000 0.000
0.000 6.539 0.000
0.000 0.000 12.131
Pu Ta Se
4 2 12
Direct
0.000 0.000 0.172 Pu
0.000 0.000 0.828 Pu
0.500 0.500 0.328 Pu
0.500 0.500 0.672 Pu
0.000 0.000 0.500 Ta
0.500 0.500 0.000 Ta
0.194 0.194 0.351 Se
0.194 0.194 0.649 Se
0.212 0.212 0.000 Se
0.288 0.712 0.500 Se
0.306 0.694 0.149 Se
0.306 0.694 0.851 Se
0.694 0.306 0.149 Se
0.694 0.306 0.851 Se
0.712 0.288 0.500 Se
0.788 0.788 0.000 Se
0.806 0.806 0.351 Se
0.806 0.806 0.649 Se

=====

No. 18
PBE-GGA PuTa4Se8, optimized geometry; spin magnetization = 5.22 μB per cell; theoretical density = 8.65 g cm⁻³; electronic total energy = -7.71 eV per atom
1.0
3.563 2.057 6.982
-3.563 2.057 6.982
0.000 -4.114 6.982
Pu Ta Se
1 4 8
Direct
0.000 0.000 0.000 Pu
0.000 0.000 0.500 Ta
0.000 0.500 0.000 Ta
0.500 0.000 0.000 Ta
0.500 0.500 0.500 Ta
0.244 0.244 0.244 Se
0.257 0.739 0.739 Se
0.261 0.261 0.743 Se
0.261 0.743 0.261 Se
0.739 0.257 0.739 Se
0.739 0.739 0.257 Se
0.743 0.261 0.261 Se
0.756 0.756 0.756 Se

=====

No. 19
PBE-GGA PuTaSe4, optimized geometry; spin magnetization = 9.74 μB per cell; theoretical density = 8.11 g cm⁻³; electronic total energy = -7.54 eV per atom
1.0
2.520 -8.738 0.000
2.520 8.738 0.000
0.000 0.000 6.884
Pu Ta Se
2 2 8
Direct
0.169 0.831 0.500 Pu
0.831 0.169 0.000 Pu
0.403 0.597 0.620 Ta
0.597 0.403 0.120 Ta
0.095 0.905 0.116 Se
0.278 0.722 0.821 Se
0.334 0.666 0.296 Se
0.461 0.539 0.973 Se
0.539 0.461 0.473 Se
0.666 0.334 0.796 Se
0.722 0.278 0.321 Se
0.905 0.095 0.616 Se

=====

No. 20
PBE-GGA TbPuSe3, optimized geometry; spin magnetization = 10.00 μB per cell; theoretical density = 8.15 g cm⁻³; electronic total energy = -7.49 eV per atom
1.0
4.072 0.000 0.000
0.000 7.063 0.000
0.000 0.000 9.064
Tb Pu Se
2 2 6
Direct
0.250 0.250 0.102 Tb
0.750 0.750 0.898 Tb
0.250 0.750 0.347 Pu
0.750 0.250 0.653 Pu
0.250 0.023 0.830 Se
0.250 0.250 0.435 Se
0.250 0.477 0.830 Se
0.750 0.523 0.170 Se
0.750 0.750 0.565 Se
0.750 0.977 0.170 Se

=====

No. 21
PBE-GGA Tb3PuSe4, optimized geometry; spin magnetization = 5.92 μB per cell; theoretical density = 8.79 g cm⁻³; electronic total energy = -7.00 eV per atom
1.0
4.125 -5.803 0.000
4.125 5.803 0.000
0.000 0.000 4.088
Tb Pu Se
3 1 4
Direct
0.000 0.000 0.000 Tb
0.000 0.500 0.500 Tb
0.500 0.000 0.500 Tb
0.500 0.500 0.000 Pu
0.248 0.248 0.500 Se
0.249 0.751 0.000 Se
0.751 0.249 0.000 Se
0.752 0.752 0.500 Se

=====

No. 22
PBE-GGA TbPuSe4, optimized geometry; spin magnetization = 5.95 μB per cell; theoretical density = 6.61 g cm⁻³; electronic total energy = -6.70 eV per atom
1.0
6.991 0.000 0.000
0.000 6.596 0.000
0.000 0.000 7.831
Tb Pu Se
2 2 8
Direct
0.000 0.000 0.000 Tb
0.000 0.500 0.500 Tb
0.500 0.000 0.302 Pu
0.500 0.500 0.802 Pu
0.182 0.235 0.261 Se
0.182 0.265 0.761 Se
0.331 0.749 0.057 Se
0.331 0.751 0.557 Se
0.669 0.249 0.557 Se
0.669 0.251 0.057 Se
0.818 0.735 0.761 Se
0.818 0.765 0.261 Se